## B2ClF8 (PBE)

Data for a geometry-optimized B2ClF8 structure.

Cell: 5.3030 5.3030 6.9925 Å, 90.00 90.00 120.00°
Closest atoms and distances in Å follow each position.
Space group P-3m1 (No. 164)
Symmetry-distinct sites (fractional):
1 B 0.3333 0.6667 0.3037 (multiplicity 2)  4 F 1.38-1.43
2 Cl 0.0000 0.0000 0.0000 (multiplicity 1)  6 F 2.38
3 F 0.1858 0.3716 0.2381 (multiplicity 6)  1 B 1.43
4 F 0.3333 0.6667 0.5007 (multiplicity 2)  1 B 1.38

Properties
The mass density is 2.0 g/cm³. As for the raw formation energy: -1.934 eV per atom. The total moment comes out at 0.26 μB per atom.

## BClF2 (PBE)

Data for a geometry-optimized BClF2 structure.

Cell: 2.9016 2.9016 26.8835 Å, 90.00 90.00 120.00°
Closest atoms and distances in Å follow each position.
Space group R-3m (No. 166, hexagonal axes)
Symmetry-distinct sites (fractional):
1 B 0.0000 0.0000 0.0000 (multiplicity 3)  2 F 1.31
2 Cl 0.0000 0.0000 0.5000 (multiplicity 3)  6 Cl 2.90
3 F 0.0000 0.0000 0.0488 (multiplicity 6)  1 B 1.31

Properties
The mass density is 2.1 g/cm³. As for the raw formation energy: -0.849 eV per atom. The total moment comes out at 0.12 μB per atom.

## BClF3 (PBE)

Data for a geometry-optimized BClF3 structure.

Cell: 5.7292 5.7292 18.3581 Å, 90.00 90.00 120.00°
Closest atoms and distances in Å follow each position.
Space group R-3m (No. 166, hexagonal axes)
Symmetry-distinct sites (fractional):
1 B 0.0000 0.0000 0.1135 (multiplicity 6)  3 F 1.32
2 Cl 0.0000 0.0000 0.3165 (multiplicity 6)  9 F 3.09-3.38, 3 Cl 3.37
3 F 0.0664 0.5332 0.7791 (multiplicity 18)  1 B 1.32

Properties
The mass density is 2.0 g/cm³. As for the raw formation energy: -1.958 eV per atom. The total moment comes out at 0.20 μB per atom.

## BClF2 (PBE)

Data for a geometry-optimized BClF2 structure.

Cell: 5.9727 5.9727 5.9727 Å, 90.00 90.00 90.00°
Closest atoms and distances in Å follow each position.
Space group Fm-3m (No. 225)
Symmetry-distinct sites (fractional):
1 B 0.0000 0.0000 0.0000 (multiplicity 4)  8 F 2.59
2 Cl 0.0000 0.0000 0.5000 (multiplicity 4)  8 F 2.59
3 F 0.2500 0.2500 0.2500 (multiplicity 8)  4 Cl 2.59, 4 B 2.59

Properties
The mass density is 2.6 g/cm³. As for the raw formation energy: 0.879 eV per atom. The total moment comes out at 0.50 μB per atom.

## BCl3F (PBE)

Data for a geometry-optimized BCl3F structure.

Cell: 4.3011 4.3011 4.3011 Å, 90.00 90.00 90.00°
Closest atoms and distances in Å follow each position.
Space group Pm-3m (No. 221)
Symmetry-distinct sites (fractional):
1 B 0.0000 0.0000 0.0000 (multiplicity 1)  6 Cl 2.15
2 Cl 0.0000 0.0000 0.5000 (multiplicity 3)  2 B 2.15
3 F 0.5000 0.5000 0.5000 (multiplicity 1)  12 Cl 3.04

Properties
The mass density is 2.8 g/cm³. As for the raw formation energy: 0.351 eV per atom. The total moment comes out at 0.21 μB per atom.

## BClF2 (PBE)

Data for a geometry-optimized BClF2 structure.

Cell: 7.0226 7.0226 7.0226 Å, 90.00 90.00 90.00°
Closest atoms and distances in Å follow each position.
Space group Fd-3m (No. 227, origin choice 2)
Symmetry-distinct sites (fractional):
1 B 0.1250 0.1250 0.1250 (multiplicity 8)  4 F 1.52
2 Cl 0.1250 0.1250 0.6250 (multiplicity 8)  12 F 2.91, 4 Cl 3.04, 4 B 3.04
3 F 0.0000 0.0000 0.0000 (multiplicity 16)  2 B 1.52

Properties
The mass density is 3.2 g/cm³. As for the raw formation energy: -0.858 eV per atom. The total moment comes out at 0.00 μB per atom.